# 1
A geometry-optimized Os2I2Br structure, computed with PBE-GGA.

Values from the calculation:
Size of the total moment ... 0.2274 μB/atom
Energy relative to the lowest polymorph listed for this composition ... 18.32 kcal/mol of atoms
Crystal system ... tetragonal

Unit cell a=8.636 b=8.636 c=3.194 alpha=90.00 beta=90.00 gamma=90.00
Space group P4/mbm (No. 127)
Inequivalent atoms, fractional coordinates:
1 Os 0.098 0.402 0.000
2 I 0.171 0.671 0.500
3 Br 0.000 0.000 0.500

***

# 2
A geometry-optimized YRe2Si structure, computed with PBE-GGA.

Values from the calculation:
Size of the total moment ... 0.0000 μB/atom
Final energy ... -9.3087 eV per atom
Crystal system ... tetragonal

Unit cell a=3.070 b=3.070 c=7.338 alpha=90.00 beta=90.00 gamma=90.00
Space group P4mm (No. 99)
Inequivalent atoms, fractional coordinates:
1 Y 0.000 0.000 0.000
2 Re 0.000 0.000 0.511
3 Re 0.500 0.500 0.302
4 Si 0.500 0.500 0.703

***

# 3
A geometry-optimized CaTlSe structure, computed with PBE-GGA.

Values from the calculation:
Size of the total moment ... 0.0014 μB/atom
Energy relative to the lowest polymorph listed for this composition ... 9.88 kcal/mol of atoms
Crystal system ... cubic

Unit cell a=7.246 b=7.246 c=7.246 alpha=90.00 beta=90.00 gamma=90.00
Space group F-43m (No. 216)
Inequivalent atoms, fractional coordinates:
1 Ca 0.000 0.000 0.000
2 Tl 0.250 0.250 0.250
3 Se 0.250 0.250 0.750

***

# 4
A geometry-optimized CsInAgPd2 structure, computed with PBE-GGA.

Values from the calculation:
Size of the total moment ... 0.0000 μB/atom
Energy relative to the elements ... 0.39 eV/atom
Crystal system ... tetragonal

Unit cell a=5.322 b=5.322 c=5.211 alpha=90.00 beta=90.00 gamma=90.00
Space group P4/mmm (No. 123)
Inequivalent atoms, fractional coordinates:
1 Cs 0.000 0.000 0.000
2 In 0.500 0.500 0.000
3 Ag 0.500 0.500 0.500
4 Pd 0.000 0.500 0.500

***

# 5
A geometry-optimized SnGeSbI2 structure, computed with PBE-GGA.

Values from the calculation:
Size of the total moment ... 0.0475 μB/atom
Energy relative to the lowest polymorph listed for this composition ... 5.94 kcal/mol of atoms
Crystal system ... tetragonal

Unit cell a=5.862 b=5.862 c=5.947 alpha=90.00 beta=90.00 gamma=90.00
Space group P4/mmm (No. 123)
Inequivalent atoms, fractional coordinates:
1 Sn 0.000 0.000 0.000
2 Ge 0.500 0.500 0.500
3 Sb 0.000 0.000 0.500
4 I 0.000 0.500 0.000

***

# 6
A geometry-optimized LiTm2NbN4 structure, computed with PBE-GGA.

Values from the calculation:
Size of the total moment ... 0.0000 μB/atom
Final energy ... -8.1381 eV per atom
Crystal system ... orthorhombic

Unit cell a=6.586 b=9.405 c=6.608 alpha=90.00 beta=90.00 gamma=90.00
Space group Fmm2 (No. 42)
Inequivalent atoms, fractional coordinates:
1 Li 0.000 0.000 0.000
2 Tm 0.250 0.250 0.243
3 Nb 0.000 0.000 0.453
4 N 0.000 0.222 0.499
5 N 0.231 0.000 0.266

***

# 7
A geometry-optimized HfIn3Pd4 structure, computed with PBE-GGA.

Values from the calculation:
Size of the total moment ... 0.0000 μB/atom
Energy relative to the elements ... -0.60 eV/atom
Crystal system ... tetragonal

Unit cell a=4.688 b=4.688 c=13.082 alpha=90.00 beta=90.00 gamma=90.00
Space group I4/mmm (No. 139)
Inequivalent atoms, fractional coordinates:
1 Hf 0.000 0.000 0.000
2 In 0.000 0.000 0.250
3 In 0.000 0.000 0.500
4 Pd 0.000 0.500 0.122

***

# 8
A geometry-optimized Sr2ZrSc structure, computed with PBE-GGA.

Values from the calculation:
Size of the total moment ... 0.3031 μB/atom
Energy relative to the elements ... 0.57 eV/atom
Energy relative to the lowest polymorph listed for this composition ... 6.69 kcal/mol of atoms
Crystal system ... orthorhombic

Unit cell a=3.845 b=5.773 c=12.019 alpha=90.00 beta=90.00 gamma=90.00
Space group Immm (No. 71)
Inequivalent atoms, fractional coordinates:
1 Sr 0.000 0.000 0.249
2 Zr 0.000 0.500 0.500
3 Sc 0.000 0.500 0.000

***

Q: Which of these has the highest size of the total moment?
A: Sr2ZrSc

***

Q: Which value of size of the total moment does entry 5 give?
A: 0.0475 μB/atom